Entry from Alexandria: a relaxed structure of NbCrPb2W (PBE-GGA).

Cell and atoms, written as CIF:
```
data_NbCrPb2W
_chemical_formula_sum 'Nb1 Cr1 Pb2 W1'
_symmetry_space_group_name_H-M 'P 4/m m m'
_symmetry_Int_Tables_number 123
_symmetry_space_group_name_Hall '-P 4 2'
_cell_length_a 5.551
_cell_length_b 5.551
_cell_length_c 4.675
_cell_angle_alpha 90.00
_cell_angle_beta 90.00
_cell_angle_gamma 90.00
loop_
_atom_site_label
_atom_site_type_symbol
_atom_site_fract_x
_atom_site_fract_y
_atom_site_fract_z
Nb1 Nb 0.000 0.000 0.000
Cr1 Cr 0.000 0.000 0.500
Pb1 Pb 0.000 0.500 0.000
W1 W 0.500 0.500 0.500
```

Computed properties:
Formation enthalpy at 0 K = 1.9143 eV/atom
VASP energy = -6.098 eV per atom